# ZrCrRu

Crystalline ZrCrRu at its relaxed geometry (GGA-PBE, Alexandria via LeMat-Bulk).

The structure in POSCAR format:
```
ZrCrRu
1.0
2.955 0.000 0.000
-1.477 2.559 0.000
0.000 0.000 6.465
Cr Ru Zr
1 1 1
Direct
0.000 0.000 0.023 Cr
0.667 0.333 0.306 Ru
0.333 0.667 0.671 Zr
```

Properties
For the energy above the most stable polymorph in this dataset, the calculation gives 406 meV per atom. Its symmetry is P3m1. The mass density comes out at 8.3 g cm⁻³. The formation energy is 0.31 eV per atom.

# VGeH

Crystalline VGeH at its relaxed geometry (GGA-PBE, Alexandria via LeMat-Bulk).

The structure in POSCAR format:
```
VGeH
1.0
-0.613 -0.508 2.631
5.437 0.701 1.402
-1.400 8.299 1.275
V Ge H
4 4 4
Direct
0.750 0.369 0.240 V
0.750 0.131 0.740 V
0.250 0.869 0.260 V
0.250 0.631 0.760 V
0.250 0.276 0.987 Ge
0.250 0.224 0.487 Ge
0.750 0.776 0.513 Ge
0.750 0.724 0.013 Ge
0.250 0.944 0.791 H
0.250 0.556 0.291 H
0.750 0.444 0.709 H
0.750 0.056 0.209 H
```

Properties
For the energy above the most stable polymorph in this dataset, the calculation gives 128 meV per atom. Its symmetry is Pnma. The mass density comes out at 6.3 g cm⁻³.

# Be2GaPd

Crystalline Be2GaPd at its relaxed geometry (GGA-PBE, Alexandria via LeMat-Bulk).

The structure in POSCAR format:
```
Be2GaPd
1.0
6.559 0.000 0.000
0.000 6.559 0.000
3.280 3.280 2.475
Be Ga Pd
4 2 2
Direct
0.641 0.125 0.250 Be
0.109 0.625 0.250 Be
0.375 0.359 0.750 Be
0.875 0.891 0.750 Be
0.500 0.500 0.000 Ga
0.250 0.750 0.500 Ga
0.000 0.000 0.000 Pd
0.750 0.250 0.500 Pd
```

Properties
Its symmetry is I-42d. The mass density comes out at 6.1 g cm⁻³. The formation energy is 0.18 eV per atom.

# ScCo2TeN

Crystalline ScCo2TeN at its relaxed geometry (GGA-PBE, Alexandria via LeMat-Bulk).

The structure in POSCAR format:
```
ScCo2TeN
1.0
3.779 0.000 0.000
0.000 3.779 0.000
0.000 0.000 5.429
Sc Te Co N
1 1 2 1
Direct
0.500 0.500 0.500 Sc
0.000 0.000 0.500 Te
0.000 0.500 0.000 Co
0.500 0.000 0.000 Co
0.000 0.000 0.000 N
```

Properties
Its symmetry is P4/mmm. The mass density comes out at 6.5 g cm⁻³. The uncorrected formation energy is 0.041 eV/atom.

# PrPuPdRu

Crystalline PrPuPdRu at its relaxed geometry (GGA-PBE, Alexandria via LeMat-Bulk).

The structure in POSCAR format:
```
PrPuPdRu
1.0
4.977 0.000 0.000
2.488 4.310 0.000
2.488 1.437 4.064
Pr Ru Pd Pu
1 1 1 1
Direct
0.500 0.500 0.500 Pr
0.750 0.750 0.750 Ru
0.250 0.250 0.250 Pd
0.000 0.000 0.000 Pu
```

Properties
Its symmetry is F-43m. The mass density comes out at 11.3 g cm⁻³. The formation energy is -0.26 eV per atom.

Number 1: total energy -26.52 eV for the cell shown. Number 2: total energy -68.98 eV for the cell shown. Number 3: total energy -29.86 eV for the cell shown. Number 4: total energy -31.81 eV for the cell shown. Number 5: total energy -34.64 eV for the cell shown.